Density functional theory data (PBE) for a relaxed GdHoGaIr crystal.

Cell lengths 4.9684, 4.9684, 4.9684 Å; angles 60.00, 60.00, 60.00 degrees
Fractional coordinates of all 4 atoms:
1 Gd 0.0000 0.0000 0.0000
2 Ho 0.5000 0.5000 0.5000
3 Ga 0.7500 0.7500 0.7500
4 Ir 0.2500 0.2500 0.2500

Calculated values
* total energy: -8.3007 eV/atom
* SG: F-43m, No. 216
* Fermi-level density of states: 2.73 states/eV per cell
* volume: 87 Å³/f.u.
* ΔE_f: -0.66 eV/atom